1.
! GGA-PBEsol KIn2Pt2, relaxed; values from VASP
! - formation energy from the elements (kJ/mol of formula units) = -179
! - M_tot (μB/atom) = 0.00
! - N(E_F) (states/eV/f.u.) = 1.52
! - V (Å³/f.u.) = 100.19
! - E above lowest polymorph (meV/atom) = 0.0
&SYSTEM
  ibrav = 0, nat = 10, ntyp = 3
/
ATOMIC_SPECIES
K 39.10 K.upf
In 114.82 In.upf
Pt 195.08 Pt.upf
CELL_PARAMETERS angstrom
8.339 0.000 0.000
0.000 8.339 0.000
0.000 0.000 2.882
ATOMIC_POSITIONS crystal
K 0.000 0.000 0.000
K 0.500 0.500 0.000
In 0.136 0.364 0.500
In 0.364 0.864 0.500
In 0.636 0.136 0.500
In 0.864 0.636 0.500
Pt 0.159 0.659 0.000
Pt 0.341 0.159 0.000
Pt 0.659 0.841 0.000
Pt 0.841 0.341 0.000


2.
! GGA-PBEsol ScTaSe2, relaxed; values from VASP
! - M_tot (μB/atom) = 0.00
! - N(E_F) (states/eV/f.u.) = 1.45
! - V (Å³/f.u.) = 70.45
! - formation energy (no corrections) (eV/atom) = -0.84
! - E above lowest polymorph (meV/atom) = 0.0
&SYSTEM
  ibrav = 0, nat = 4, ntyp = 3
/
ATOMIC_SPECIES
Sc 44.96 Sc.upf
Ta 180.95 Ta.upf
Se 78.96 Se.upf
CELL_PARAMETERS angstrom
4.710 -1.639 0.000
4.710 1.639 0.000
-0.862 0.000 4.562
ATOMIC_POSITIONS crystal
Sc 0.000 0.000 0.000
Ta 0.231 0.231 0.606
Se 0.503 0.503 0.506
Se 0.732 0.732 0.099


3.
! GGA-PBEsol BeFe, relaxed; values from VASP
! - formation energy from the elements (kJ/mol of formula units) = -28
! - M_tot (μB/atom) = 0.87
! - N(E_F) (states/eV/f.u.) = 1.14
! - V (Å³/f.u.) = 18.16
&SYSTEM
  ibrav = 0, nat = 4, ntyp = 2
/
ATOMIC_SPECIES
Be 9.01 Be.upf
Fe 55.84 Fe.upf
CELL_PARAMETERS angstrom
2.409 0.000 0.000
0.000 3.683 0.000
-0.571 0.000 4.093
ATOMIC_POSITIONS crystal
Be 0.006 0.250 0.146
Be 0.994 0.750 0.854
Fe 0.409 0.250 0.661
Fe 0.591 0.750 0.339


4.
! GGA-PBEsol Lu2Ni3B6, relaxed; values from VASP
! - formation energy from the elements (kJ/mol of formula units) = -700
! - M_tot (μB/atom) = 0.00
! - N(E_F) (states/eV/f.u.) = 4.29
! - V (Å³/f.u.) = 108.78
&SYSTEM
  ibrav = 0, nat = 11, ntyp = 3
/
ATOMIC_SPECIES
Lu 174.97 Lu.upf
Ni 58.69 Ni.upf
B 10.81 B.upf
CELL_PARAMETERS angstrom
3.781 -4.256 0.000
3.781 4.256 0.000
0.000 0.000 3.380
ATOMIC_POSITIONS crystal
Lu 0.224 0.776 0.000
Lu 0.776 0.224 0.000
Ni 0.273 0.273 0.000
Ni 0.500 0.500 0.500
Ni 0.727 0.727 0.000
B 0.112 0.112 0.500
B 0.117 0.418 0.500
B 0.418 0.117 0.500
B 0.582 0.883 0.500
B 0.883 0.582 0.500
B 0.888 0.888 0.500


5.
! GGA-PBEsol CdCo2Ir, relaxed; values from VASP
! - formation energy from the elements (kJ/mol of formula units) = 95
! - M_tot (μB/atom) = 0.85
! - N(E_F) (states/eV/f.u.) = 4.33
! - V (Å³/f.u.) = 54.11
&SYSTEM
  ibrav = 0, nat = 4, ntyp = 3
/
ATOMIC_SPECIES
Cd 112.41 Cd.upf
Co 58.93 Co.upf
Ir 192.22 Ir.upf
CELL_PARAMETERS angstrom
1.348 0.778 8.600
-1.348 0.778 8.600
0.000 -1.556 8.600
ATOMIC_POSITIONS crystal
Cd 0.000 0.000 0.000
Co 0.493 0.493 0.493
Co 0.755 0.755 0.755
Ir 0.238 0.238 0.238


6.
! GGA-PBEsol FeCl3, relaxed; values from VASP
! - M_tot (μB/atom) = 0.25
! - N(E_F) (states/eV/f.u.) = 4.06
! - V (Å³/f.u.) = 82.80
! - formation energy (no corrections) (eV/atom) = -0.65
&SYSTEM
  ibrav = 0, nat = 24, ntyp = 2
/
ATOMIC_SPECIES
Fe 55.84 Fe.upf
Cl 35.45 Cl.upf
CELL_PARAMETERS angstrom
5.721 0.000 0.000
-2.861 4.955 0.000
0.000 0.000 17.525
ATOMIC_POSITIONS crystal
Fe 0.000 0.000 0.000
Fe 0.000 0.000 0.329
Fe 0.000 0.000 0.671
Fe 0.333 0.667 0.000
Fe 0.667 0.333 0.329
Fe 0.667 0.333 0.671
Cl 0.026 0.333 0.072
Cl 0.026 0.693 0.928
Cl 0.307 0.333 0.928
Cl 0.307 0.974 0.072
Cl 0.333 0.026 0.401
Cl 0.333 0.307 0.599
Cl 0.334 0.027 0.743
Cl 0.334 0.307 0.257
Cl 0.667 0.693 0.072
Cl 0.667 0.974 0.928
Cl 0.693 0.026 0.599
Cl 0.693 0.027 0.257
Cl 0.693 0.666 0.743
Cl 0.693 0.667 0.401
Cl 0.973 0.307 0.743
Cl 0.973 0.666 0.257
Cl 0.974 0.307 0.401
Cl 0.974 0.667 0.599


7.
! GGA-PBEsol LiZr, relaxed; values from VASP
! - formation energy from the elements (kJ/mol of formula units) = 107
! - M_tot (μB/atom) = 0.52
! - N(E_F) (states/eV/f.u.) = 1.71
! - V (Å³/f.u.) = 39.75
! - E above lowest polymorph (meV/atom) = 453.6
&SYSTEM
  ibrav = 0, nat = 4, ntyp = 2
/
ATOMIC_SPECIES
Li 6.94 Li.upf
Zr 91.22 Zr.upf
CELL_PARAMETERS angstrom
0.000 3.413 3.413
3.413 0.000 3.413
3.413 3.413 0.000
ATOMIC_POSITIONS crystal
Li 0.125 0.125 0.125
Li 0.875 0.875 0.875
Zr 0.375 0.375 0.375
Zr 0.625 0.625 0.625


8.
! GGA-PBEsol LaMn3, relaxed; values from VASP
! - formation energy from the elements (kJ/mol of formula units) = 254
! - M_tot (μB/atom) = 2.45
! - N(E_F) (states/eV/f.u.) = 3.82
! - V (Å³/f.u.) = 69.09
&SYSTEM
  ibrav = 0, nat = 4, ntyp = 2
/
ATOMIC_SPECIES
La 138.91 La.upf
Mn 54.94 Mn.upf
CELL_PARAMETERS angstrom
-2.057 2.057 4.083
2.057 -2.057 4.083
2.057 2.057 -4.083
ATOMIC_POSITIONS crystal
La 0.000 0.000 0.000
Mn 0.250 0.750 0.500
Mn 0.500 0.500 0.000
Mn 0.750 0.250 0.500


9.
! GGA-PBEsol Ti2Cu9B6O22, relaxed; values from VASP
! - M_tot (μB/atom) = 0.03
! - N(E_F) (states/eV/f.u.) = 5.05
! - V (Å³/f.u.) = 426.27
! - formation energy (no corrections) (eV/atom) = -1.61
&SYSTEM
  ibrav = 0, nat = 78, ntyp = 4
/
ATOMIC_SPECIES
Ti 47.87 Ti.upf
Cu 63.55 Cu.upf
B 10.81 B.upf
O 16.00 O.upf
CELL_PARAMETERS angstrom
7.287 0.000 0.000
-0.342 10.622 0.000
-1.319 -2.721 11.014
ATOMIC_POSITIONS crystal
Ti 0.117 0.102 0.453
Ti 0.380 0.914 0.571
Ti 0.620 0.086 0.429
Ti 0.883 0.898 0.547
Cu 0.064 0.781 0.787
Cu 0.111 0.499 0.889
Cu 0.130 0.769 0.296
Cu 0.175 0.366 0.491
Cu 0.259 0.998 0.986
Cu 0.313 0.644 0.522
Cu 0.367 0.504 0.110
Cu 0.422 0.236 0.629
Cu 0.453 0.213 0.192
Cu 0.547 0.787 0.808
Cu 0.578 0.764 0.371
Cu 0.633 0.496 0.890
Cu 0.687 0.356 0.478
Cu 0.741 0.002 0.014
Cu 0.825 0.634 0.509
Cu 0.870 0.231 0.704
Cu 0.889 0.501 0.111
Cu 0.936 0.219 0.213
B 0.008 0.064 0.802
B 0.079 0.495 0.293
B 0.173 0.255 0.966
B 0.311 0.740 0.019
B 0.438 0.505 0.710
B 0.460 0.927 0.185
B 0.540 0.073 0.815
B 0.562 0.495 0.290
B 0.689 0.260 0.981
B 0.827 0.745 0.034
B 0.921 0.505 0.707
B 0.992 0.936 0.198
O 0.043 0.604 0.777
O 0.049 0.194 0.862
O 0.085 0.220 0.358
O 0.088 0.591 0.230
O 0.088 0.967 0.844
O 0.118 0.952 0.299
O 0.131 0.947 0.541
O 0.157 0.244 0.593
O 0.169 0.502 0.405
O 0.184 0.387 0.995
O 0.246 0.811 0.938
O 0.271 0.182 0.032
O 0.304 0.608 0.993
O 0.328 0.508 0.606
O 0.328 0.761 0.419
O 0.382 0.081 0.483
O 0.392 0.801 0.134
O 0.403 0.786 0.656
O 0.423 0.026 0.131
O 0.429 0.055 0.708
O 0.450 0.393 0.215
O 0.459 0.394 0.754
O 0.541 0.606 0.246
O 0.550 0.607 0.785
O 0.571 0.945 0.292
O 0.577 0.974 0.869
O 0.597 0.214 0.344
O 0.608 0.199 0.866
O 0.618 0.919 0.517
O 0.672 0.239 0.581
O 0.672 0.492 0.394
O 0.696 0.392 0.007
O 0.729 0.818 0.968
O 0.754 0.189 0.062
O 0.816 0.613 0.005
O 0.831 0.498 0.595
O 0.843 0.756 0.407
O 0.869 0.053 0.459
O 0.882 0.048 0.701
O 0.912 0.033 0.156
O 0.912 0.409 0.770
O 0.915 0.780 0.642
O 0.951 0.806 0.138
O 0.957 0.396 0.223


10.
! GGA-PBEsol Zn3CoI, relaxed; values from VASP
! - M_tot (μB/atom) = 0.14
! - N(E_F) (states/eV/f.u.) = 8.34
! - V (Å³/f.u.) = 101.51
! - formation energy (no corrections) (eV/atom) = 0.48
&SYSTEM
  ibrav = 0, nat = 5, ntyp = 3
/
ATOMIC_SPECIES
Zn 65.41 Zn.upf
Co 58.93 Co.upf
I 126.90 I.upf
CELL_PARAMETERS angstrom
4.665 0.000 0.000
0.000 4.665 0.000
0.000 0.000 4.665
ATOMIC_POSITIONS crystal
Zn 0.000 0.000 0.500
Zn 0.000 0.500 0.000
Zn 0.500 0.000 0.000
Co 0.000 0.000 0.000
I 0.500 0.500 0.500


11.
! GGA-PBEsol TeSe2BrO, relaxed; values from VASP
! - M_tot (μB/atom) = 0.00
! - N(E_F) (states/eV/f.u.) = 2.75
! - V (Å³/f.u.) = 102.12
! - formation energy (no corrections) (eV/atom) = 0.29
&SYSTEM
  ibrav = 0, nat = 5, ntyp = 4
/
ATOMIC_SPECIES
Te 127.60 Te.upf
Se 78.96 Se.upf
Br 79.90 Br.upf
O 16.00 O.upf
CELL_PARAMETERS angstrom
4.164 0.000 0.000
0.000 4.164 0.000
0.000 0.000 5.889
ATOMIC_POSITIONS crystal
Te 0.000 0.000 0.000
Se 0.000 0.500 0.500
Se 0.500 0.000 0.500
Br 0.500 0.500 0.000
O 0.500 0.500 0.500


12.
! GGA-PBEsol Rb5Ti6AgSe27, relaxed; values from VASP
! - M_tot (μB/atom) = 0.00
! - N(E_F) (states/eV/f.u.) = 0.68
! - V (Å³/f.u.) = 1041.92
! - formation energy (no corrections) (eV/atom) = -0.83
&SYSTEM
  ibrav = 0, nat = 78, ntyp = 4
/
ATOMIC_SPECIES
Rb 85.47 Rb.upf
Ti 47.87 Ti.upf
Ag 107.87 Ag.upf
Se 78.96 Se.upf
CELL_PARAMETERS angstrom
13.240 0.000 0.000
-6.620 11.466 0.000
0.000 0.000 13.727
ATOMIC_POSITIONS crystal
Rb 0.035 0.377 0.000
Rb 0.333 0.667 0.173
Rb 0.333 0.667 0.809
Rb 0.342 0.965 0.000
Rb 0.377 0.035 0.500
Rb 0.623 0.658 0.000
Rb 0.658 0.623 0.500
Rb 0.667 0.333 0.309
Rb 0.667 0.333 0.673
Rb 0.965 0.342 0.500
Ti 0.016 0.682 0.122
Ti 0.017 0.671 0.863
Ti 0.318 0.334 0.122
Ti 0.329 0.346 0.863
Ti 0.334 0.318 0.622
Ti 0.346 0.329 0.363
Ti 0.654 0.983 0.863
Ti 0.666 0.984 0.122
Ti 0.671 0.017 0.363
Ti 0.682 0.016 0.622
Ti 0.983 0.654 0.363
Ti 0.984 0.666 0.622
Ag 0.000 0.000 0.246
Ag 0.000 0.000 0.746
Se 0.012 0.522 0.736
Se 0.079 0.888 0.869
Se 0.101 0.898 0.137
Se 0.102 0.203 0.137
Se 0.112 0.192 0.869
Se 0.114 0.801 0.491
Se 0.134 0.590 0.361
Se 0.145 0.667 0.995
Se 0.158 0.818 0.744
Se 0.164 0.804 0.249
Se 0.182 0.340 0.744
Se 0.189 0.694 0.580
Se 0.192 0.112 0.369
Se 0.196 0.360 0.249
Se 0.199 0.313 0.491
Se 0.203 0.102 0.637
Se 0.306 0.495 0.580
Se 0.313 0.199 0.991
Se 0.333 0.478 0.995
Se 0.340 0.182 0.244
Se 0.360 0.196 0.749
Se 0.410 0.543 0.361
Se 0.457 0.866 0.361
Se 0.478 0.333 0.495
Se 0.478 0.490 0.736
Se 0.490 0.478 0.236
Se 0.495 0.306 0.080
Se 0.505 0.811 0.580
Se 0.510 0.988 0.736
Se 0.522 0.012 0.236
Se 0.522 0.855 0.995
Se 0.543 0.410 0.861
Se 0.590 0.134 0.861
Se 0.640 0.836 0.249
Se 0.660 0.842 0.744
Se 0.667 0.145 0.495
Se 0.687 0.886 0.491
Se 0.694 0.189 0.080
Se 0.797 0.899 0.137
Se 0.801 0.114 0.991
Se 0.804 0.164 0.749
Se 0.808 0.921 0.869
Se 0.811 0.505 0.080
Se 0.818 0.158 0.244
Se 0.836 0.640 0.749
Se 0.842 0.660 0.244
Se 0.855 0.522 0.495
Se 0.866 0.457 0.861
Se 0.886 0.687 0.991
Se 0.888 0.079 0.369
Se 0.898 0.101 0.637
Se 0.899 0.797 0.637
Se 0.921 0.808 0.369
Se 0.988 0.510 0.236